a | La2DyHo4, optimized geometry, DFT PBE; mass density = 6.9 g/cm3; M_tot = 0.01 μB per formula unit; calculated volume = 266.2 Å³/cell
1.0
5.534 0.000 0.000
0.000 5.534 0.000
-2.767 -2.767 8.692
La Dy Ho
2 1 4
Direct
0.626 0.626 0.252 La
0.374 0.374 0.748 La
0.000 0.000 0.000 Dy
0.826 0.826 0.651 Ho
0.174 0.174 0.349 Ho
0.000 0.500 0.000 Ho
0.500 0.000 0.000 Ho

***

b | La2DyHo4, optimized geometry, DFT PBE; mass density = 7.9 g/cm3; M_tot = 0.00 μB per formula unit; calculated volume = 460.9 Å³/cell
1.0
0.740 1.412 -6.922
4.551 -7.978 2.510
-8.842 -0.414 0.807
Dy Ho La
2 8 4
Direct
0.559 0.467 0.379 Dy
0.034 0.063 0.105 Dy
0.856 0.296 0.931 Ho
0.988 0.627 0.804 Ho
0.837 0.889 0.659 Ho
0.054 0.466 0.375 Ho
0.538 0.063 0.109 Ho
0.494 0.625 0.800 Ho
0.362 0.299 0.935 Ho
0.894 0.723 0.226 Ho
0.333 0.888 0.660 La
0.444 0.176 0.513 La
0.955 0.191 0.530 La
0.401 0.726 0.224 La

***

Preferred: b; penalty for the next structure: 591 meV per atom.

***

a | LaDy2Ho4, optimized geometry, DFT PBE; mass density = 8.2 g/cm3; M_tot = 0.00 μB per formula unit; calculated volume = 452.6 Å³/cell
1.0
0.083 -2.236 -6.706
-3.148 -6.868 4.113
-5.557 6.831 -0.492
Dy Ho La
4 8 2
Direct
0.721 0.677 0.439 Dy
0.129 0.136 0.607 Dy
0.801 0.413 0.034 Dy
0.445 0.834 0.172 Dy
0.624 0.128 0.603 Ho
0.528 0.566 0.772 Ho
0.334 0.239 0.316 Ho
0.828 0.242 0.316 Ho
0.026 0.565 0.774 Ho
0.945 0.837 0.180 Ho
0.307 0.414 0.038 Ho
0.421 0.012 0.902 Ho
0.221 0.676 0.447 La
0.920 0.011 0.902 La

***

b | LaDy2Ho4, optimized geometry, DFT PBE; mass density = 8.3 g/cm3; M_tot = 0.00 μB per formula unit; calculated volume = 448.3 Å³/cell
1.0
-4.683 3.614 -1.416
-4.004 -3.764 3.637
4.746 4.356 9.733
La Dy Ho
2 4 8
Direct
0.182 0.750 0.135 La
0.818 0.250 0.865 La
0.611 0.750 0.009 Dy
0.389 0.250 0.991 Dy
0.294 0.250 0.451 Dy
0.706 0.750 0.549 Dy
0.638 0.491 0.290 Ho
0.980 0.750 0.834 Ho
0.020 0.250 0.166 Ho
0.638 0.009 0.290 Ho
0.859 0.250 0.578 Ho
0.362 0.991 0.710 Ho
0.362 0.509 0.710 Ho
0.141 0.750 0.422 Ho

***

Preferred: a; penalty for the next structure: 82 meV per atom.